Material: Ce2AsRu
Method: DFT, PBE
State: relaxed

Cell: 4.0198 4.0198 7.3295 Å, 74.08 74.08 60.00°
Element x y z (fractional)
Ce 0.2564 0.2564 0.2308
Ce 0.7436 0.7436 0.7692
As 0.5000 0.5000 0.5000
Ru 0.0000 0.0000 0.0000

Results
The value obtained for the polymorph energy (0 for the lowest one) is 0.08 eV/f.u. The value obtained for the formation energy is -0.7304 eV per atom. The calculation puts the calculated density at 7.79 g/cm3.